Entry 1:
An optimized crystal structure of Ca4U6O19, computed with PBE.

The calculation puts the density of states at the Fermi level at 21.1 states/eV per cell. The value obtained for the uncorrected formation energy is -3.1053 eV per atom. The space group is I23 (197). The value obtained for the energy is -8.965 eV per atom.

Lattice parameters (Å, degrees): 8.517 8.517 8.517 109.47 109.47 109.47
Fractional positions:
Ca (0.000, 0.000, 0.724)
Ca (0.000, 0.724, 0.000)
Ca (0.276, 0.276, 0.276)
Ca (0.724, 0.000, 0.000)
U (0.324, 0.500, 0.824)
U (0.676, 0.500, 0.176)
U (0.176, 0.676, 0.500)
U (0.824, 0.324, 0.500)
U (0.500, 0.824, 0.324)
U (0.500, 0.176, 0.676)
O (0.634, 0.000, 0.634)
O (0.366, 0.000, 0.366)
O (0.366, 0.366, 0.000)
O (0.634, 0.634, 0.000)
O (0.000, 0.634, 0.634)
O (0.000, 0.366, 0.366)
O (0.000, 0.000, 0.000)
O (0.348, 0.324, 0.599)
O (0.652, 0.251, 0.976)
O (0.725, 0.749, 0.401)
O (0.976, 0.652, 0.251)
O (0.275, 0.676, 0.024)
O (0.599, 0.348, 0.324)
O (0.024, 0.275, 0.676)
O (0.401, 0.725, 0.749)
O (0.676, 0.024, 0.275)
O (0.251, 0.976, 0.652)
O (0.324, 0.599, 0.348)
O (0.749, 0.401, 0.725)

=====

Entry 2:
An optimized crystal structure of CaUO3, computed with PBE.

The calculation puts the density of states at the Fermi level at 9.3 states/eV per cell. The value obtained for the uncorrected formation energy is -3.0795 eV per atom. The space group is Pmma (51). The value obtained for the energy is -8.712 eV per atom.

Lattice parameters (Å, degrees): 3.806 5.557 7.402 90.00 90.00 90.00
Fractional positions:
Ca (0.000, 0.000, 0.500)
Ca (0.000, 0.000, 0.000)
U (0.500, 0.538, 0.750)
U (0.500, 0.462, 0.250)
O (0.500, 0.735, 0.455)
O (0.500, 0.735, 0.045)
O (0.500, 0.265, 0.545)
O (0.000, 0.255, 0.250)
O (0.500, 0.265, 0.955)
O (0.000, 0.745, 0.750)